Record 1
Density functional theory data (SCAN) for Dy2Ni2Sn at its PBEsol-relaxed geometry.

Cell lengths 4.1875, 5.3714, 5.3714 Å; angles 62.44, 67.06, 67.06 degrees
Last column: nearest neighbours and their distance in Å.
Positions (direct):
Sn 0.0000 0.0000 0.0000  4 Ni 2.64
Ni 0.5000 0.7116 0.2884  1 Ni 2.36
Ni 0.5000 0.2884 0.7116  1 Ni 2.36
Dy 0.2024 0.2976 0.2976  6 Ni 2.92, 4 Sn 3.21-3.24
Dy 0.7976 0.7024 0.7024  6 Ni 2.92, 4 Sn 3.21-3.24

Calculated values
- N(E_F) (states/eV/atom) = 0.63
- formation enthalpy at 0 K (meV/atom) = -641

---

Record 2
Density functional theory data (SCAN) for Dy4Ni12Sn25 at its PBEsol-relaxed geometry.

Cell lengths 10.1904, 10.1904, 10.1904 Å; angles 109.47, 109.47, 109.47 degrees
Last column: nearest neighbours and their distance in Å.
Positions (direct):
Sn 0.6279 0.2579 0.6300  3 Ni 2.53-2.64
Sn 0.3745 0.2474 0.1271  3 Ni 2.49-2.57
Sn 0.6300 0.3721 0.0021  3 Ni 2.53-2.64
Sn 0.3700 0.6279 0.9979  3 Ni 2.53-2.64
Sn 0.6279 0.9979 0.3700  3 Ni 2.53-2.64
Sn 0.7526 0.8729 0.6255  3 Ni 2.49-2.57
Sn 0.0021 0.6300 0.3721  3 Ni 2.53-2.64
Sn 0.3721 0.7421 0.3700  3 Ni 2.53-2.64
Sn 0.6255 0.7526 0.8729  3 Ni 2.49-2.57
Sn 0.7526 0.1271 0.8797  3 Ni 2.49-2.57
Sn 0.8797 0.7526 0.1271  3 Ni 2.49-2.57
Sn 0.9979 0.3700 0.6279  3 Ni 2.53-2.64
Sn 0.8729 0.1203 0.2474  3 Ni 2.49-2.57
Sn 0.7421 0.3700 0.3721  3 Ni 2.53-2.64
Sn 0.8729 0.6255 0.7526  3 Ni 2.49-2.57
Sn 0.2474 0.8729 0.1203  3 Ni 2.49-2.57
Sn 0.3721 0.0021 0.6300  3 Ni 2.53-2.64
Sn 0.6300 0.6279 0.2579  3 Ni 2.53-2.64
Sn 0.1271 0.8797 0.7526  3 Ni 2.49-2.57
Sn 0.2579 0.6300 0.6279  3 Ni 2.53-2.64
Sn 0.2474 0.1271 0.3745  3 Ni 2.49-2.57
Sn 0.3700 0.3721 0.7421  3 Ni 2.53-2.64
Sn 0.1271 0.3745 0.2474  3 Ni 2.49-2.57
Sn 0.0000 0.0000 0.0000  12 Sn 3.27
Sn 0.1203 0.2474 0.8729  3 Ni 2.49-2.57
Ni 0.4821 0.1615 0.3206  6 Sn 2.49-2.64
Ni 0.1615 0.6794 0.8409  6 Sn 2.49-2.64
Ni 0.8385 0.3206 0.1591  6 Sn 2.49-2.64
Ni 0.6794 0.8409 0.1615  6 Sn 2.49-2.64
Ni 0.3206 0.4821 0.1615  6 Sn 2.49-2.64
Ni 0.5179 0.8385 0.6794  6 Sn 2.49-2.64
Ni 0.3206 0.1591 0.8385  6 Sn 2.49-2.64
Ni 0.1591 0.8385 0.3206  6 Sn 2.49-2.64
Ni 0.8409 0.1615 0.6794  6 Sn 2.49-2.64
Ni 0.1615 0.3206 0.4821  6 Sn 2.49-2.64
Ni 0.6794 0.5179 0.8385  6 Sn 2.49-2.64
Ni 0.8385 0.6794 0.5179  6 Sn 2.49-2.64
Dy 0.0000 0.0000 0.5000  6 Ni 3.23, 12 Sn 3.28-3.57
Dy 0.5000 0.5000 0.5000  6 Ni 3.23, 12 Sn 3.28-3.57
Dy 0.0000 0.5000 0.0000  6 Ni 3.23, 12 Sn 3.28-3.57
Dy 0.5000 0.0000 0.0000  6 Ni 3.23, 12 Sn 3.28-3.57

Calculated values
- N(E_F) (states/eV/atom) = 0.43
- formation enthalpy at 0 K (meV/atom) = -321

---

Record 3
Density functional theory data (SCAN) for Dy2Ni2Sn at its PBEsol-relaxed geometry.

Cell lengths 3.6208, 7.2208, 7.2208 Å; angles 90.00, 90.00, 90.00 degrees
Last column: nearest neighbours and their distance in Å.
Positions (direct):
Ni 0.0000 0.3793 0.8793  1 Ni 2.46
Ni 0.0000 0.6207 0.1207  1 Ni 2.46
Ni 0.0000 0.8793 0.6207  1 Ni 2.46
Ni 0.0000 0.1207 0.3793  1 Ni 2.46
Sn 0.0000 0.0000 0.0000  4 Ni 2.87
Sn 0.0000 0.5000 0.5000  4 Ni 2.87
Dy 0.5000 0.6750 0.8250  6 Ni 2.76-2.83
Dy 0.5000 0.3250 0.1750  6 Ni 2.76-2.83
Dy 0.5000 0.8250 0.3250  6 Ni 2.76-2.83
Dy 0.5000 0.1750 0.6750  6 Ni 2.76-2.83

Calculated values
- N(E_F) (states/eV/atom) = 0.56
- formation enthalpy at 0 K (meV/atom) = -636

---

Record 4
Density functional theory data (SCAN) for DyNiSn4 at its PBEsol-relaxed geometry.

Cell lengths 4.3403, 4.4090, 14.2412 Å; angles 90.00, 98.77, 90.00 degrees
Last column: nearest neighbours and their distance in Å.
Positions (direct):
Sn 0.0000 0.0000 0.0000  4 Ni 2.62
Sn 0.6089 0.5000 0.2178  2 Ni 2.73
Sn 0.2856 0.0000 0.5712  2 Sn 2.95, 4 Dy 3.15
Sn 0.8905 0.0000 0.7810  2 Ni 2.71
Sn 0.5000 0.5000 0.0000  4 Ni 2.65
Sn 0.1095 0.0000 0.2190  2 Ni 2.71
Sn 0.3911 0.5000 0.7822  2 Ni 2.73
Sn 0.7144 0.0000 0.4288  2 Sn 2.95, 4 Dy 3.15
Ni 0.4480 0.0000 0.8960  8 Sn 2.62-2.73, 1 Ni 2.93
Ni 0.5520 0.0000 0.1040  8 Sn 2.62-2.73, 1 Ni 2.93
Dy 0.8069 0.5000 0.6137  10 Sn 3.15-3.41
Dy 0.1931 0.5000 0.3863  10 Sn 3.15-3.41

Calculated values
- N(E_F) (states/eV/atom) = 0.37
- formation enthalpy at 0 K (meV/atom) = -370

---

Record 5
Density functional theory data (SCAN) for Dy2NiSn6 at its PBEsol-relaxed geometry.

Cell lengths 4.3018, 4.3564, 11.3725 Å; angles 90.00, 100.90, 90.00 degrees
Last column: nearest neighbours and their distance in Å.
Positions (direct):
Ni 0.0000 0.0000 0.0000  8 Sn 2.66-2.67
Sn 0.5702 0.0000 0.1405  2 Ni 2.66
Sn 0.0694 0.5000 0.1389  2 Ni 2.67
Sn 0.4298 0.0000 0.8595  2 Ni 2.66
Sn 0.9306 0.5000 0.8611  2 Ni 2.67
Sn 0.7950 0.0000 0.5899  2 Sn 2.94, 4 Dy 3.12
Sn 0.2050 0.0000 0.4101  2 Sn 2.94, 4 Dy 3.12
Dy 0.3226 0.5000 0.6452  10 Sn 3.12-3.41
Dy 0.6774 0.5000 0.3548  10 Sn 3.12-3.41

Calculated values
- N(E_F) (states/eV/atom) = 0.33
- formation enthalpy at 0 K (meV/atom) = -518

---

Record 6
Density functional theory data (SCAN) for DyNiSn2 at its PBEsol-relaxed geometry.

Cell lengths 4.3835, 14.4051, 15.8797 Å; angles 90.00, 90.00, 90.00 degrees
Last column: nearest neighbours and their distance in Å.
Positions (direct):
Sn 0.7500 0.2610 0.5332  2 Ni 2.60-2.61
Sn 0.7500 0.9213 0.4791  3 Ni 2.50-2.70
Sn 0.7500 0.5497 0.5436  1 Ni 2.49
Sn 0.2500 0.0787 0.5209  3 Ni 2.50-2.70
Sn 0.2500 0.3247 0.1856  3 Ni 2.46-2.62
Sn 0.2500 0.0497 0.9564  1 Ni 2.49
Sn 0.2500 0.8717 0.1735  3 Ni 2.54-2.73
Sn 0.2500 0.8945 0.7135  3 Ni 2.50-2.57
Sn 0.2500 0.6055 0.2135  3 Ni 2.50-2.57
Sn 0.7500 0.1055 0.2865  3 Ni 2.50-2.57
Sn 0.2500 0.6283 0.6735  3 Ni 2.54-2.73
Sn 0.7500 0.3717 0.3265  3 Ni 2.54-2.73
Sn 0.7500 0.6753 0.8144  3 Ni 2.46-2.62
Sn 0.7500 0.3945 0.7865  3 Ni 2.50-2.57
Sn 0.7500 0.8247 0.3144  3 Ni 2.46-2.62
Sn 0.2500 0.7610 0.9668  2 Ni 2.60-2.61
Sn 0.7500 0.1283 0.8265  3 Ni 2.54-2.73
Sn 0.2500 0.7390 0.4668  2 Ni 2.60-2.61
Sn 0.7500 0.2390 0.0332  2 Ni 2.60-2.61
Sn 0.2500 0.1753 0.6856  3 Ni 2.46-2.62
Sn 0.7500 0.5787 0.9791  3 Ni 2.50-2.70
Sn 0.2500 0.4213 0.0209  3 Ni 2.50-2.70
Sn 0.2500 0.4503 0.4564  1 Ni 2.49
Sn 0.7500 0.9503 0.0436  1 Ni 2.49
Dy 0.7500 0.7709 0.6257  2 Ni 3.06, 8 Sn 3.10-3.37
Dy 0.2500 0.1060 0.1458  4 Ni 3.10-3.20, 7 Sn 3.11-3.42
Dy 0.2500 0.2291 0.3743  2 Ni 3.06, 8 Sn 3.10-3.37
Dy 0.2500 0.2709 0.8743  2 Ni 3.06, 8 Sn 3.10-3.37
Dy 0.7500 0.4719 0.1503  8 Sn 3.08-3.15, 6 Ni 3.24-3.39
Dy 0.2500 0.3940 0.6458  4 Ni 3.10-3.20, 7 Sn 3.11-3.42
Dy 0.7500 0.0281 0.6503  8 Sn 3.08-3.15, 6 Ni 3.24-3.39
Dy 0.2500 0.5281 0.8497  8 Sn 3.08-3.15, 6 Ni 3.24-3.39
Dy 0.7500 0.6060 0.3542  4 Ni 3.10-3.20, 7 Sn 3.11-3.42
Dy 0.7500 0.8940 0.8542  4 Ni 3.10-3.20, 7 Sn 3.11-3.42
Dy 0.2500 0.9719 0.3497  8 Sn 3.08-3.15, 6 Ni 3.24-3.39
Dy 0.7500 0.7291 0.1257  2 Ni 3.06, 8 Sn 3.10-3.37
Ni 0.7500 0.2523 0.6966  5 Sn 2.46-2.73
Ni 0.2500 0.7477 0.3034  5 Sn 2.46-2.73
Ni 0.2500 0.7523 0.8034  5 Sn 2.46-2.73
Ni 0.2500 0.8946 0.5514  5 Sn 2.50-2.70
Ni 0.7500 0.5441 0.7006  5 Sn 2.49-2.62
Ni 0.2500 0.6054 0.0514  5 Sn 2.50-2.70
Ni 0.2500 0.0441 0.7994  5 Sn 2.49-2.62
Ni 0.7500 0.3946 0.9486  5 Sn 2.50-2.70
Ni 0.7500 0.9559 0.2006  5 Sn 2.49-2.62
Ni 0.2500 0.4559 0.2994  5 Sn 2.49-2.62
Ni 0.7500 0.1054 0.4486  5 Sn 2.50-2.70
Ni 0.7500 0.2477 0.1966  5 Sn 2.46-2.73

Calculated values
- N(E_F) (states/eV/atom) = 0.35
- formation enthalpy at 0 K (meV/atom) = -632

---

Record 7
Density functional theory data (SCAN) for DyPO4 at its PBEsol-relaxed geometry.

Cell lengths 5.7135, 5.7135, 5.7135 Å; angles 106.01, 106.01, 116.64 degrees
Last column: nearest neighbours and their distance in Å.
Positions (direct):
O 0.4852 0.6611 0.8241  1 P 1.55
O 0.3389 0.1630 0.8241  1 P 1.55
O 0.4130 0.0889 0.3241  1 P 1.55
O 0.7648 0.0889 0.6759  1 P 1.55
O 0.9111 0.5870 0.6759  1 P 1.55
O 0.9111 0.2352 0.3241  1 P 1.55
O 0.3389 0.5148 0.1759  1 P 1.55
O 0.8370 0.6611 0.1759  1 P 1.55
Dy 0.0000 0.0000 0.0000  8 O 2.29-2.37
Dy 0.2500 0.7500 0.5000  8 O 2.29-2.37
P 0.5000 0.5000 0.0000  4 O 1.55
P 0.7500 0.2500 0.5000  4 O 1.55

Calculated values
- N(E_F) (states/eV/atom) = 0.00
- energy (eV/atom) = -17.223

---

Record 8
Density functional theory data (SCAN) for DyP3O9 at its PBEsol-relaxed geometry.

Cell lengths 6.7562, 7.8782, 8.7563 Å; angles 74.59, 67.31, 64.61 degrees
Last column: nearest neighbours and their distance in Å.
Positions (direct):
P 0.2194 0.8866 0.5148  4 O 1.49-1.60
P 0.8133 0.1765 0.4056  4 O 1.49-1.59
P 0.8155 0.1121 0.0772  4 O 1.50-1.61
P 0.6046 0.6765 0.9056  4 O 1.49-1.59
P 0.9952 0.6121 0.5772  4 O 1.50-1.61
P 0.3792 0.3866 0.0148  4 O 1.49-1.60
O 0.4757 0.8854 0.8991  1 P 1.49
O 0.8076 0.9198 0.0996  1 P 1.50
O 0.9417 0.6757 0.4159  1 P 1.50
O 0.0550 0.0789 0.4397  2 P 1.59-1.60
O 0.5577 0.2669 0.1181  2 P 1.60-1.61
O 0.2767 0.9399 0.6391  1 P 1.49
O 0.7396 0.5871 0.0263  1 P 1.50
O 0.6470 0.0871 0.5263  1 P 1.50
O 0.7605 0.6231 0.7222  2 P 1.59
O 0.0574 0.7669 0.6181  2 P 1.60-1.61
O 0.4132 0.7854 0.3746  1 P 1.50
O 0.8942 0.1231 0.2222  2 P 1.59
O 0.1729 0.4198 0.5996  1 P 1.50
O 0.1443 0.4399 0.1391  1 P 1.49
O 0.9667 0.1757 0.9159  1 P 1.50
O 0.4265 0.5789 0.9397  2 P 1.59-1.60
O 0.7397 0.3854 0.3991  1 P 1.49
O 0.4269 0.2854 0.8746  1 P 1.50
Dy 0.7904 0.6444 0.2429  6 O 2.21-2.25
Dy 0.3223 0.1444 0.7429  6 O 2.21-2.25

Calculated values
- N(E_F) (states/eV/atom) = 0.00
- energy (eV/atom) = -13.179

---

N(E_F) of number 4 (DyNiSn4)? 0.37 states/eV/atom

---

What did the third record say?
Density functional theory data (SCAN) for Dy2Ni2Sn at its PBEsol-relaxed geometry.

Cell lengths 3.6208, 7.2208, 7.2208 Å; angles 90.00, 90.00, 90.00 degrees
Last column: nearest neighbours and their distance in Å.
Positions (direct):
Ni 0.0000 0.3793 0.8793  1 Ni 2.46
Ni 0.0000 0.6207 0.1207  1 Ni 2.46
Ni 0.0000 0.8793 0.6207  1 Ni 2.46
Ni 0.0000 0.1207 0.3793  1 Ni 2.46
Sn 0.0000 0.0000 0.0000  4 Ni 2.87
Sn 0.0000 0.5000 0.5000  4 Ni 2.87
Dy 0.5000 0.6750 0.8250  6 Ni 2.76-2.83
Dy 0.5000 0.3250 0.1750  6 Ni 2.76-2.83
Dy 0.5000 0.8250 0.3250  6 Ni 2.76-2.83
Dy 0.5000 0.1750 0.6750  6 Ni 2.76-2.83

Calculated values
- N(E_F) (states/eV/atom) = 0.56
- formation enthalpy at 0 K (meV/atom) = -636

---

Among the records above, which one has the highest N(E_F)? number 1